Computed, not measured: crystalline LaCeHoTl at its relaxed geometry at the PBE level of DFT.

Results
D(E_F)	1.942	states/eV per atom
space-group type	F-43m (216)

a = 5.5149 Å, b = 5.5149 Å, c = 5.5149 Å
α = 60.00°, β = 60.00°, γ = 60.00°
Closest atoms and distances in Å follow each position.
Element x y z (fractional)
La 0.0000 0.0000 0.0000  4 Tl 3.38, 4 Ce 3.38
Ce 0.2500 0.2500 0.2500  4 Ho 3.38, 4 La 3.38
Ho 0.5000 0.5000 0.5000  4 Tl 3.38, 4 Ce 3.38
Tl 0.7500 0.7500 0.7500  4 La 3.38, 4 Ho 3.38

---

Computed, not measured: crystalline LaCe2HoTl4 at its relaxed geometry at the PBE level of DFT.

Results
D(E_F)	2.476	states/eV per atom
space-group type	R-3m (166)

a = 9.5764 Å, b = 9.5764 Å, c = 9.5764 Å
α = 33.39°, β = 33.39°, γ = 33.39°
Closest atoms and distances in Å follow each position.
Element x y z (fractional)
La 0.0000 0.0000 0.0000  8 Tl 3.40-3.44
Ce 0.2490 0.2490 0.2490  8 Tl 3.31-3.48
Ce 0.7510 0.7510 0.7510  8 Tl 3.31-3.48
Ho 0.5000 0.5000 0.5000  8 Tl 3.32-3.35
Tl 0.1270 0.1270 0.1270  4 Ce 3.31-3.38, 3 Ho 3.35, 1 La 3.44
Tl 0.3775 0.3775 0.3775  1 Ho 3.32, 4 Ce 3.36-3.48, 3 La 3.40
Tl 0.6225 0.6225 0.6225  1 Ho 3.32, 4 Ce 3.36-3.48, 3 La 3.40
Tl 0.8730 0.8730 0.8730  4 Ce 3.31-3.38, 3 Ho 3.35, 1 La 3.44

---

Computed, not measured: crystalline LaCeHoTm at its relaxed geometry at the PBE level of DFT.

Results
D(E_F)	2.307	states/eV per atom
space-group type	F-43m (216)

a = 5.6964 Å, b = 5.6964 Å, c = 5.6964 Å
α = 60.00°, β = 60.00°, γ = 60.00°
Closest atoms and distances in Å follow each position.
Element x y z (fractional)
La 0.0000 0.0000 0.0000  4 Tm 3.49, 4 Ho 3.49
Ce 0.5000 0.5000 0.5000  4 Tm 3.49, 4 Ho 3.49
Ho 0.2500 0.2500 0.2500  4 La 3.49, 4 Ce 3.49
Tm 0.7500 0.7500 0.7500  4 La 3.49, 4 Ce 3.49

---

Computed, not measured: crystalline La2CeY6Ho3 at its relaxed geometry at the PBE level of DFT.

Results
D(E_F)	1.657	states/eV per atom
space-group type	C2/m (12)

a = 6.2470 Å, b = 6.2470 Å, c = 11.5307 Å
α = 90.03°, β = 90.03°, γ = 120.02°
Closest atoms and distances in Å follow each position.
Element x y z (fractional)
La 0.1666 0.8334 0.0000  6 Y 3.58, 3 La 3.61, 3 Ce 3.61
La 0.8334 0.1666 0.0000  6 Y 3.58, 3 La 3.61, 3 Ce 3.61
Ce 0.5000 0.5000 0.0000  6 Y 3.56-3.57, 6 La 3.61
Y 0.1681 0.4986 0.7478  3 Ho 3.53-3.54, 1 Ce 3.57, 6 Y 3.57-3.62, 2 La 3.58
Y 0.1711 0.1711 0.2522  3 Ho 3.52-3.55, 1 Ce 3.56, 6 Y 3.57-3.62, 2 La 3.58
Y 0.4986 0.1681 0.7478  3 Ho 3.53-3.54, 1 Ce 3.57, 6 Y 3.57-3.62, 2 La 3.58
Y 0.5014 0.8319 0.2522  3 Ho 3.53-3.54, 1 Ce 3.57, 6 Y 3.57-3.62, 2 La 3.58
Y 0.8289 0.8289 0.7478  3 Ho 3.52-3.55, 1 Ce 3.56, 6 Y 3.57-3.62, 2 La 3.58
Y 0.8319 0.5014 0.2522  3 Ho 3.53-3.54, 1 Ce 3.57, 6 Y 3.57-3.62, 2 La 3.58
Ho 0.1668 0.8332 0.5000  6 Y 3.53-3.55, 6 Ho 3.60-3.61
Ho 0.5000 0.5000 0.5000  6 Y 3.52-3.53, 6 Ho 3.61
Ho 0.8332 0.1668 0.5000  6 Y 3.53-3.55, 6 Ho 3.60-3.61

---

Computed, not measured: crystalline LaCeYHo at its relaxed geometry at the PBE level of DFT.

Results
D(E_F)	2.428	states/eV per atom
space-group type	F-43m (216)

a = 5.7351 Å, b = 5.7351 Å, c = 5.7351 Å
α = 60.00°, β = 60.00°, γ = 60.00°
Closest atoms and distances in Å follow each position.
Element x y z (fractional)
La 0.0000 0.0000 0.0000  4 Ho 3.51, 4 Y 3.51
Ce 0.5000 0.5000 0.5000  4 Ho 3.51, 4 Y 3.51
Y 0.7500 0.7500 0.7500  4 La 3.51, 4 Ce 3.51
Ho 0.2500 0.2500 0.2500  4 La 3.51, 4 Ce 3.51

---

Computed, not measured: crystalline La3CeY6Ho2 at its relaxed geometry at the PBE level of DFT.

Results
D(E_F)	1.605	states/eV per atom
space-group type	C2/m (12)

a = 6.2574 Å, b = 6.2574 Å, c = 11.9049 Å
α = 95.02°, β = 95.02°, γ = 120.01°
Closest atoms and distances in Å follow each position.
Element x y z (fractional)
La 0.0000 0.0000 0.0000  6 La 3.60-3.62, 6 Y 3.65
La 0.3321 0.6679 0.0000  6 La 3.60-3.64, 6 Y 3.65
La 0.6679 0.3321 0.0000  6 La 3.60-3.64, 6 Y 3.65
Ce 0.5000 0.5000 0.5000  6 Y 3.54, 6 Ho 3.61
Y 0.0870 0.4185 0.2556  1 Ce 3.54, 2 Ho 3.55, 6 Y 3.59-3.62, 3 La 3.65
Y 0.2498 0.2498 0.7447  1 Ce 3.54, 2 Ho 3.55, 6 Y 3.59-3.62, 3 La 3.65
Y 0.4185 0.0870 0.2556  1 Ce 3.54, 2 Ho 3.55, 6 Y 3.59-3.62, 3 La 3.65
Y 0.5815 0.9130 0.7444  1 Ce 3.54, 2 Ho 3.55, 6 Y 3.59-3.62, 3 La 3.65
Y 0.7502 0.7502 0.2553  1 Ce 3.54, 2 Ho 3.55, 6 Y 3.59-3.62, 3 La 3.65
Y 0.9130 0.5815 0.7444  1 Ce 3.54, 2 Ho 3.55, 6 Y 3.59-3.62, 3 La 3.65
Ho 0.1667 0.8333 0.5000  6 Y 3.55, 3 Ho 3.61, 3 Ce 3.61
Ho 0.8333 0.1667 0.5000  6 Y 3.55, 3 Ho 3.61, 3 Ce 3.61

---

Computed, not measured: crystalline La6CeYHo2 at its relaxed geometry at the PBE level of DFT.

Results
D(E_F)	2.244	states/eV per atom
space-group type	C2/m (12)

a = 7.0227 Å, b = 7.0227 Å, c = 9.0257 Å
α = 107.78°, β = 107.78°, γ = 58.58°
Closest atoms and distances in Å follow each position.
Element x y z (fractional)
La 0.0933 0.6154 0.6903  1 Y 3.27, 3 La 3.28-3.59, 1 Ce 3.31, 2 Ho 3.48-3.55
La 0.1659 0.1659 0.9202  1 Ce 3.62, 3 Ho 3.73-3.99, 1 Y 3.90, 8 La 3.97-4.03
La 0.3846 0.9067 0.3097  1 Y 3.27, 3 La 3.28-3.59, 1 Ce 3.31, 2 Ho 3.48-3.55
La 0.6154 0.0933 0.6903  1 Y 3.27, 3 La 3.28-3.59, 1 Ce 3.31, 2 Ho 3.48-3.55
La 0.8341 0.8341 0.0798  1 Ce 3.62, 3 Ho 3.73-3.99, 1 Y 3.90, 8 La 3.97-4.03
La 0.9067 0.3846 0.3097  1 Y 3.27, 3 La 3.28-3.59, 1 Ce 3.31, 2 Ho 3.48-3.55
Ce 0.0000 0.0000 0.5000  6 La 3.31-3.62
Y 0.5000 0.5000 0.0000  4 La 3.27, 2 Ho 3.52
Ho 0.3983 0.3983 0.3200  1 Ho 3.33, 4 La 3.48-3.55, 1 Y 3.52
Ho 0.6017 0.6017 0.6800  1 Ho 3.33, 4 La 3.48-3.55, 1 Y 3.52

---

Computed, not measured: crystalline LaCeHoZn at its relaxed geometry at the PBE level of DFT.

Results
D(E_F)	2.233	states/eV per atom
space-group type	F-43m (216)

a = 5.4324 Å, b = 5.4324 Å, c = 5.4324 Å
α = 60.00°, β = 60.00°, γ = 60.00°
Closest atoms and distances in Å follow each position.
Element x y z (fractional)
La 0.0000 0.0000 0.0000  4 Ho 3.33, 4 Zn 3.33
Ce 0.5000 0.5000 0.5000  4 Ho 3.33, 4 Zn 3.33
Ho 0.7500 0.7500 0.7500  4 Ce 3.33, 4 La 3.33
Zn 0.2500 0.2500 0.2500  4 La 3.33, 4 Ce 3.33

---

Computed, not measured: crystalline Li2CeHo at its relaxed geometry at the PBE level of DFT.

Results
D(E_F)	1.605	states/eV per atom
ΔE to the lowest computed polymorph	0.016	eV/atom
space-group type	R-3m (166)

a = 12.1142 Å, b = 12.1142 Å, c = 12.1142 Å
α = 14.97°, β = 14.97°, γ = 14.97°
Closest atoms and distances in Å follow each position.
Element x y z (fractional)
Li 0.0882 0.0882 0.0882  6 Li 3.16, 1 Ce 3.17, 3 Ho 3.36
Li 0.9118 0.9118 0.9118  6 Li 3.16, 1 Ce 3.17, 3 Ho 3.36
Ce 0.0000 0.0000 0.0000  6 Ce 3.16, 2 Li 3.17
Ho 0.5000 0.5000 0.5000  6 Ho 3.16, 6 Li 3.36

---

Computed, not measured: crystalline Li4CeHo at its relaxed geometry at the PBE level of DFT.

Results
D(E_F)	1.772	states/eV per atom
space-group type	F-43m (216)

a = 5.8538 Å, b = 5.8538 Å, c = 5.8538 Å
α = 60.00°, β = 60.00°, γ = 60.00°
Closest atoms and distances in Å follow each position.
Element x y z (fractional)
Li 0.1242 0.1242 0.1242  6 Li 2.91-2.95
Li 0.1242 0.1242 0.6275  6 Li 2.91-2.95
Li 0.1242 0.6275 0.1242  6 Li 2.91-2.95
Li 0.6275 0.1242 0.1242  6 Li 2.91-2.95
Ce 0.5000 0.5000 0.5000  12 Li 3.43, 4 Ho 3.58
Ho 0.7500 0.7500 0.7500  12 Li 3.43, 4 Ce 3.58

---

Computed, not measured: crystalline LiCe2Ho at its relaxed geometry at the PBE level of DFT.

Results
D(E_F)	2.745	states/eV per atom
ΔE to the lowest computed polymorph	0.000	eV/atom
space-group type	P4/mmm (123)

a = 3.2638 Å, b = 3.2638 Å, c = 10.3602 Å
α = 90.00°, β = 90.00°, γ = 90.00°
Closest atoms and distances in Å follow each position.
Element x y z (fractional)
Li 0.0000 0.0000 0.0000  4 Li 3.26, 8 Ce 3.41
Ce 0.5000 0.5000 0.2424  4 Ce 3.26, 4 Li 3.41, 4 Ho 3.53
Ce 0.5000 0.5000 0.7576  4 Ce 3.26, 4 Li 3.41, 4 Ho 3.53
Ho 0.0000 0.0000 0.5000  4 Ho 3.26, 8 Ce 3.53

---

Computed, not measured: crystalline Li2CeHo at its relaxed geometry at the PBE level of DFT.

Results
D(E_F)	1.943	states/eV per atom
ΔE to the lowest computed polymorph	0.000	eV/atom
space-group type	P4/mmm (123)

a = 3.6565 Å, b = 3.6565 Å, c = 7.5431 Å
α = 90.00°, β = 90.00°, γ = 90.00°
Closest atoms and distances in Å follow each position.
Element x y z (fractional)
Li 0.0000 0.0000 0.2477  4 Ho 3.19, 4 Ce 3.21
Li 0.0000 0.0000 0.7523  4 Ho 3.19, 4 Ce 3.21
Ce 0.5000 0.5000 0.5000  8 Li 3.21
Ho 0.5000 0.5000 0.0000  8 Li 3.19

---

Computed, not measured: crystalline LiCe2Ho at its relaxed geometry at the PBE level of DFT.

Results
D(E_F)	2.511	states/eV per atom
ΔE to the lowest computed polymorph	0.035	eV/atom
space-group type	R-3m (166)

a = 12.4732 Å, b = 12.4732 Å, c = 12.4732 Å
α = 15.01°, β = 15.01°, γ = 15.01°
Closest atoms and distances in Å follow each position.
Element x y z (fractional)
Li 0.0000 0.0000 0.0000  2 Ce 3.22, 6 Li 3.26
Ce 0.0869 0.0869 0.0869  1 Li 3.22, 6 Ce 3.26, 3 Ho 3.50
Ce 0.9131 0.9131 0.9131  1 Li 3.22, 6 Ce 3.26, 3 Ho 3.50
Ho 0.5000 0.5000 0.5000  6 Ho 3.26, 6 Ce 3.50

---

Computed, not measured: crystalline LiCeHoLu at its relaxed geometry at the PBE level of DFT.

Results
D(E_F)	2.094	states/eV per atom
space-group type	F-43m (216)

a = 5.4243 Å, b = 5.4243 Å, c = 5.4243 Å
α = 60.00°, β = 60.00°, γ = 60.00°
Closest atoms and distances in Å follow each position.
Element x y z (fractional)
Li 0.0000 0.0000 0.0000  4 Ce 3.32, 4 Ho 3.32
Ce 0.7500 0.7500 0.7500  4 Li 3.32, 4 Lu 3.32
Ho 0.2500 0.2500 0.2500  4 Lu 3.32, 4 Li 3.32
Lu 0.5000 0.5000 0.5000  4 Ce 3.32, 4 Ho 3.32

---

Computed, not measured: crystalline LiCeNdHo at its relaxed geometry at the PBE level of DFT.

Results
D(E_F)	2.267	states/eV per atom
space-group type	F-43m (216)

a = 5.4602 Å, b = 5.4602 Å, c = 5.4602 Å
α = 60.00°, β = 60.00°, γ = 60.00°
Closest atoms and distances in Å follow each position.
Element x y z (fractional)
Li 0.0000 0.0000 0.0000  4 Nd 3.34, 4 Ho 3.34
Ce 0.5000 0.5000 0.5000  4 Ho 3.34, 4 Nd 3.34
Nd 0.7500 0.7500 0.7500  4 Li 3.34, 4 Ce 3.34
Ho 0.2500 0.2500 0.2500  4 Ce 3.34, 4 Li 3.34

---

Computed, not measured: crystalline LiCeHoNi at its relaxed geometry at the PBE level of DFT.

Results
D(E_F)	1.840	states/eV per atom
space-group type	F-43m (216)

a = 4.9377 Å, b = 4.9377 Å, c = 4.9377 Å
α = 60.00°, β = 60.00°, γ = 60.00°
Closest atoms and distances in Å follow each position.
Element x y z (fractional)
Li 0.0000 0.0000 0.0000  4 Ce 3.02, 4 Ho 3.02
Ce 0.7500 0.7500 0.7500  4 Li 3.02, 4 Ni 3.02
Ho 0.2500 0.2500 0.2500  4 Li 3.02, 4 Ni 3.02
Ni 0.5000 0.5000 0.5000  4 Ce 3.02, 4 Ho 3.02

---

Computed, not measured: crystalline LiCeHoOs at its relaxed geometry at the PBE level of DFT.

Results
D(E_F)	1.558	states/eV per atom
space-group type	F-43m (216)

a = 4.9229 Å, b = 4.9229 Å, c = 4.9229 Å
α = 60.00°, β = 60.00°, γ = 60.00°
Closest atoms and distances in Å follow each position.
Element x y z (fractional)
Li 0.0000 0.0000 0.0000  4 Ce 3.01, 4 Ho 3.01
Ce 0.7500 0.7500 0.7500  4 Li 3.01, 4 Os 3.01
Ho 0.2500 0.2500 0.2500  4 Li 3.01, 4 Os 3.01
Os 0.5000 0.5000 0.5000  4 Ce 3.01, 4 Ho 3.01

---

Computed, not measured: crystalline Li2Ce2HoPb2 at its relaxed geometry at the PBE level of DFT.

Results
D(E_F)	1.612	states/eV per atom
space-group type	R-3m (166)

a = 9.5290 Å, b = 9.5290 Å, c = 9.5290 Å
α = 28.35°, β = 28.35°, γ = 28.35°
Closest atoms and distances in Å follow each position.
Element x y z (fractional)
Li 0.0895 0.0895 0.0895  3 Pb 2.72
Li 0.9105 0.9105 0.9105  3 Pb 2.72
Ce 0.3562 0.3562 0.3562  3 Ce 2.97, 3 Li 3.25
Ce 0.6438 0.6438 0.6438  3 Ce 2.97, 3 Li 3.25
Ho 0.5000 0.5000 0.5000  6 Pb 3.23, 6 Li 3.43
Pb 0.2317 0.2317 0.2317  3 Li 2.72
Pb 0.7683 0.7683 0.7683  3 Li 2.72

---

Computed, not measured: crystalline LiCeHoPt at its relaxed geometry at the PBE level of DFT.

Results
D(E_F)	2.068	states/eV per atom
space-group type	F-43m (216)

a = 5.0274 Å, b = 5.0274 Å, c = 5.0274 Å
α = 60.00°, β = 60.00°, γ = 60.00°
Closest atoms and distances in Å follow each position.
Element x y z (fractional)
Li 0.0000 0.0000 0.0000  4 Ce 3.08, 4 Ho 3.08
Ce 0.2500 0.2500 0.2500  4 Li 3.08, 4 Pt 3.08
Ho 0.7500 0.7500 0.7500  4 Li 3.08, 4 Pt 3.08
Pt 0.5000 0.5000 0.5000  4 Ce 3.08, 4 Ho 3.08

---

Computed, not measured: crystalline LiCeHoRh at its relaxed geometry at the PBE level of DFT.

Results
D(E_F)	1.689	states/eV per atom
space-group type	F-43m (216)

a = 4.9694 Å, b = 4.9694 Å, c = 4.9694 Å
α = 60.00°, β = 60.00°, γ = 60.00°
Closest atoms and distances in Å follow each position.
Element x y z (fractional)
Li 0.0000 0.0000 0.0000  4 Ce 3.04, 4 Ho 3.04
Ce 0.7500 0.7500 0.7500  4 Li 3.04, 4 Rh 3.04
Ho 0.2500 0.2500 0.2500  4 Li 3.04, 4 Rh 3.04
Rh 0.5000 0.5000 0.5000  4 Ce 3.04, 4 Ho 3.04

---

no.,raw total energy (eV/cell)
1,-17.789
2,-33.091
3,-19.323
4,-68.094
5,-21.272
6,-68.228
7,-48.852
8,-16.420
9,-13.272
10,-17.050
11,-17.557
12,-13.335
13,-17.419
14,-16.043
15,-16.040
16,-18.332
17,-24.267
18,-29.670
19,-20.541
20,-21.178